Record 1
# Hf2MgHg2 PBE-GGA relaxed
data_Hf2MgHg2
_space_group_name_H-M_alt 'P 1'
_space_group_IT_number 1
_cell_length_a 7.193
_cell_length_b 7.193
_cell_length_c 4.212
_cell_angle_alpha 90.00
_cell_angle_beta 90.00
_cell_angle_gamma 90.00
loop_
_space_group_symop_operation_xyz
'x,y,z'
loop_
_atom_site_label
_atom_site_type_symbol
_atom_site_fract_x
_atom_site_fract_y
_atom_site_fract_z
Hf1 Hf 0.163 0.337 0.000
Hf2 Hf 0.337 0.837 0.000
Hf3 Hf 0.663 0.163 0.000
Hf4 Hf 0.837 0.663 0.000
Mg1 Mg 0.000 0.000 0.500
Mg2 Mg 0.500 0.500 0.500
Hg1 Hg 0.142 0.642 0.500
Hg2 Hg 0.358 0.142 0.500
Hg3 Hg 0.642 0.858 0.500
Hg4 Hg 0.858 0.358 0.500
# Energy relative to the lowest polymorph listed for this composition, kJ/mol of atoms: 0.0

---

Record 2
Density functional theory data (PBE-GGA) for a geometry-optimized HfMgHg structure.

The structure in CIF format:
```
data_HfMgHg
_space_group_name_H-M_alt 'P 1'
_space_group_IT_number 1
_cell_length_a 4.770
_cell_length_b 4.770
_cell_length_c 3.198
_cell_angle_alpha 90.00
_cell_angle_beta 90.00
_cell_angle_gamma 120.00
loop_
_space_group_symop_operation_xyz
'x,y,z'
loop_
_atom_site_label
_atom_site_type_symbol
_atom_site_fract_x
_atom_site_fract_y
_atom_site_fract_z
Hf1 Hf 0.000 0.000 0.000
Mg1 Mg 0.667 0.333 0.500
Hg1 Hg 0.333 0.667 0.500
```

---

For the records above, the corresponding formation energy values read 2.95; 1.86 kJ per mole of atoms.
For the records above, the corresponding magnetic moment values read 0.00; 0.00 μB per formula unit.